# PBE Tm6GeTe3Pt2, optimized geometry
# - ρ: 9.728 g/cm³
# - VASP energy: -0.20571 hartree per atom
data_Tm6GeTe3Pt2
_chemical_formula_sum 'Tm12 Ge2 Te6 Pt4'
_cell_length_a 7.130
_cell_length_b 12.384
_cell_length_c 7.582
_cell_angle_alpha 90.00
_cell_angle_beta 108.54
_cell_angle_gamma 90.00
_symmetry_space_group_name_H-M 'C 1 2/m 1'
_symmetry_Int_Tables_number 12
loop_
_symmetry_equiv_pos_as_xyz
'x,y,z'
'-x,-y,-z'
'-x,y,-z'
'x,-y,z'
'x+1/2,y+1/2,z'
'-x+1/2,-y+1/2,-z'
'-x+1/2,y+1/2,-z'
'x+1/2,-y+1/2,z'
loop_
_atom_site_label
_atom_site_type_symbol
_atom_site_fract_x
_atom_site_fract_y
_atom_site_fract_z
_atom_site_occupancy
Tm1 Tm 0.232 0.000 0.215 1
Tm2 Tm 0.241 0.330 0.216 1
Ge1 Ge 0.000 0.500 0.000 1
Te1 Te 0.000 0.000 0.500 1
Te2 Te 0.000 0.336 0.500 1
Pt1 Pt 0.000 0.167 0.000 1